1.
Zr2Cu2P PBE-GGA optimized geometry; electronic total energy = -5.832 eV/atom; V = 96.8 Å³/f.u.; M_tot = 0.0 μB per formula unit; formation energy = 0.31 eV per atom
1.0
4.5032 0.0000 0.0000
0.0000 4.5032 0.0000
0.0000 0.0000 9.5515
Zr Cu P
4 4 2
Cartesian
0.0000 2.2516 2.3879
0.0000 2.2516 7.1636
2.2516 0.0000 2.3879
2.2516 0.0000 7.1636
0.0000 0.0000 1.0776
0.0000 0.0000 8.4738
2.2516 2.2516 3.6981
2.2516 2.2516 5.8534
0.0000 0.0000 4.7757
2.2516 2.2516 0.0000

2.
ZrCuP2 PBE-GGA optimized geometry; electronic total energy = -6.271 eV/atom; V = 66.6 Å³/f.u.; M_tot = 0.0 μB per formula unit; formation energy = -0.40 eV per atom
1.0
6.5417 0.0000 0.0000
0.0000 6.5417 0.0000
0.0000 0.0000 6.2209
Zr Cu P
4 4 8
Cartesian
0.0000 0.0000 0.0000
0.0000 3.2708 1.5552
3.2708 0.0000 4.6656
3.2708 3.2708 3.1104
0.0000 0.0000 3.1104
0.0000 3.2708 4.6656
3.2708 0.0000 1.5552
3.2708 3.2708 0.0000
1.3163 4.9063 3.8880
1.6354 1.3163 2.3328
1.6354 1.9545 5.4433
1.9545 4.9063 0.7776
4.5871 1.6354 0.7776
4.9063 4.5871 5.4433
4.9063 5.2254 2.3328
5.2254 1.6354 3.8880

3.
Zr2CuP2 PBE-GGA optimized geometry; electronic total energy = -6.888 eV/atom; V = 86.7 Å³/f.u.; M_tot = 0.0 μB per formula unit; formation energy = -0.49 eV per atom
1.0
3.4310 0.0000 0.0000
0.0000 3.4310 0.0000
0.0000 0.0000 14.7227
Zr Cu P
4 2 4
Cartesian
0.0000 0.0000 1.6218
0.0000 0.0000 13.1009
1.7155 1.7155 5.7396
1.7155 1.7155 8.9831
0.0000 0.0000 7.3614
1.7155 1.7155 0.0000
0.0000 1.7155 3.6807
0.0000 1.7155 11.0420
1.7155 0.0000 3.6807
1.7155 0.0000 11.0420

4.
ZrCuP2 PBE-GGA optimized geometry; electronic total energy = -6.313 eV/atom; V = 63.9 Å³/f.u.; M_tot = 0.0 μB per formula unit; formation energy = -0.45 eV per atom
1.0
3.5374 0.0000 0.0000
0.0000 3.5875 0.0000
0.0000 0.0000 10.0712
Zr Cu P
2 2 4
Cartesian
0.0000 0.0000 0.0000
1.7687 1.7937 5.0356
0.0000 1.7937 7.5054
1.7687 0.0000 2.4698
0.0000 0.0000 4.3332
0.0000 1.7937 1.9774
1.7687 0.0000 7.0129
1.7687 1.7937 9.3688

5.
Zr2CuP PBE-GGA optimized geometry; electronic total energy = -7.119 eV/atom; V = 74.4 Å³/f.u.; M_tot = 0.0 μB per formula unit; formation energy = -0.47 eV per atom
1.0
3.7235 0.0000 0.0000
-1.8617 3.2246 0.0000
0.0000 0.0000 18.5950
Zr Cu P
6 3 3
Cartesian
0.0000 0.0000 0.0000
0.0000 0.0000 3.7629
0.0000 2.1498 12.3967
0.0000 2.1498 16.1595
1.8617 1.0749 6.1983
1.8617 1.0749 9.9612
0.0000 0.0000 14.2678
0.0000 2.1498 8.0694
1.8617 1.0749 1.8711
0.0000 0.0000 8.1165
0.0000 2.1498 1.9181
1.8617 1.0749 14.3148

6.
ZrCuP PBE-GGA optimized geometry; electronic total energy = -6.328 eV/atom; V = 47.7 Å³/f.u.; M_tot = 0.0 μB per formula unit; formation energy = -0.31 eV per atom
1.0
3.2222 0.0000 0.0000
0.0000 3.2222 0.0000
0.0000 0.0000 9.1958
Zr Cu P
2 2 2
Cartesian
0.0000 0.0000 0.0000
1.6111 1.6111 4.5979
0.0000 0.0000 6.3449
1.6111 1.6111 1.7470
0.0000 0.0000 2.8127
1.6111 1.6111 7.4106

7.
Zr2CuP PBE-GGA optimized geometry; electronic total energy = -7.187 eV/atom; V = 68.8 Å³/f.u.; M_tot = 0.0 μB per formula unit; formation energy = -0.54 eV per atom
1.0
5.9052 0.0000 0.0000
0.0000 7.0245 0.0000
0.0000 0.0000 3.3183
Zr Cu P
4 2 2
Cartesian
1.4763 1.7561 0.0000
1.4763 5.2684 0.0000
4.4289 1.7561 0.0000
4.4289 5.2684 0.0000
0.0000 0.0000 1.6591
2.9526 3.5123 1.6591
0.0000 3.5123 1.6591
2.9526 0.0000 1.6591

8.
ZrCuP2 PBE-GGA optimized geometry; electronic total energy = -6.309 eV/atom; V = 61.7 Å³/f.u.; M_tot = 0.0 μB per formula unit; formation energy = -0.44 eV per atom
1.0
4.2550 0.0000 0.0000
0.0000 4.2550 0.0000
0.0000 0.0000 3.4075
Zr Cu P
1 1 2
Cartesian
0.0000 0.0000 0.0000
2.1275 2.1275 0.0000
0.0000 2.1275 1.7038
2.1275 0.0000 1.7038